No. 1
DFT (PBE) results for an optimized crystal structure of LiYZr.

POSCAR file:
```
LiYZr
1.0
3.390 0.000 0.000
0.000 3.390 0.000
0.000 0.000 12.716
Y Li Zr
2 2 2
direct
0.500 0.000 0.399
0.000 0.500 0.601
0.500 0.000 0.771
0.000 0.500 0.229
0.500 0.000 0.077
0.000 0.500 0.923
```

Computed properties:
**Crystal system**: tetragonal
**Mass density**: 4.251 g cm⁻³
**E_form**: 134 meV/atom
**Distance to the lowest polymorph of the same formula**: 0.0664 eV per atom
**SG**: No. 129

No. 2
DFT (PBE) results for an optimized crystal structure of HfBN2O.

POSCAR file:
```
HfBN2O
1.0
-1.473 3.929 0.996
-3.349 -0.583 -2.655
-2.136 -1.571 3.039
N O Hf B
2 1 1 1
direct
0.500 0.000 0.000
0.000 0.500 0.000
0.000 0.000 0.500
0.000 0.000 0.000
0.500 0.500 0.500
```

Computed properties:
**Crystal system**: tetragonal
**Mass density**: 5.164 g cm⁻³
**Formation energy without anion corrections**: 3.848 eV per formula unit
**SG**: No. 123

No. 3
DFT (PBE) results for an optimized crystal structure of Mg2MnTc.

POSCAR file:
```
Mg2MnTc
1.0
-1.703 -3.964 0.649
3.858 -1.416 1.465
-1.870 3.500 1.813
Mg Mn Tc
2 1 1
direct
0.000 0.000 0.000
0.250 0.750 0.500
0.500 0.500 0.000
0.750 0.250 0.500
```

Computed properties:
**Crystal system**: cubic
**Mass density**: 5.697 g cm⁻³
**E_form**: 255 meV/atom
**Distance to the lowest polymorph of the same formula**: 0.1819 eV per atom
**SG**: No. 216

mass density of number 1 (LiYZr)? 4.251 g cm⁻³